Computed, not measured: a relaxed CsLaZn3 crystal at the GGA-PBE level of DFT.

POSCAR file:
```
CsLaZn3
1.0
6.0078 0.0000 0.0000
0.0000 6.0078 0.0000
0.0000 0.0000 6.0078
Cs La Zn
1 1 3
Direct
0.0000 0.0000 0.0000
0.5000 0.5000 0.5000
0.0000 0.5000 0.5000
0.5000 0.0000 0.5000
0.5000 0.5000 0.0000
```

Summary:
* theoretical density: 3.58 Mg/m³



Computed, not measured: a relaxed ThCdAg crystal at the GGA-PBE level of DFT.

POSCAR file:
```
ThCdAg
1.0
-1.7286 1.7286 6.0796
1.7286 -1.7286 6.0796
1.7286 1.7286 -6.0796
Th Cd Ag
1 1 1
Direct
0.0000 0.0000 0.0000
0.3074 0.3074 0.0000
0.6756 0.6756 0.0000
```

Summary:
* theoretical density: 10.34 Mg/m³



Computed, not measured: a relaxed PrDy3Pd crystal at the GGA-PBE level of DFT.

POSCAR file:
```
PrDy3Pd
1.0
5.8641 -4.2069 0.0000
5.8641 4.2069 0.0000
-4.8298 0.0000 6.2813
Pr Dy Pd
2 6 2
Direct
0.0426 0.0426 0.3070
0.9574 0.9574 0.6930
0.0996 0.5015 0.2651
0.4259 0.4259 0.7286
0.4985 0.9004 0.7349
0.5015 0.0996 0.2651
0.5741 0.5741 0.2714
0.9004 0.4985 0.7349
0.2766 0.2766 0.9276
0.7234 0.7234 0.0724
```

Summary:
* theoretical density: 7.87 Mg/m³



Computed, not measured: a relaxed HgIrPb crystal at the GGA-PBE level of DFT.

POSCAR file:
```
HgIrPb
1.0
3.2188 0.0000 0.0000
0.0000 3.2188 0.0000
0.0000 0.0000 6.5396
Hg Ir Pb
1 1 1
Direct
0.0000 0.0000 0.0000
0.5000 0.5000 0.2777
0.0000 0.0000 0.5419
```

Summary:
* theoretical density: 14.70 Mg/m³



Table of total magnetization (μB/cell), in record order: 0.00; 0.00; 0.00; 0.00
Table of DFT formation energy (eV/f.u.), in record order: 2.14; -0.25; -1.34; 0.92